A plane-wave DFT calculation with PBE-GGA was carried out for PAuSeN2 after structural relaxation.

Its energy relative to the elements, uncorrected is 0.91 eV per atom. The value obtained for the electronic total energy is -24.26 eV/cell. The polymorph energy (0 for the lowest one) comes out at 0.000 eV per atom. The crystal system is tetragonal.

The structure belongs to space group P4/mmm (No. 123); the cell edges are 3.4859, 3.4859 and 6.3565 Å and the angles 90.00°, 90.00° and 90.00°. The asymmetric unit holds P at (0.0000, 0.0000, 0.0000), Au at (0.5000, 0.5000, 0.5000), Se at (0.0000, 0.0000, 0.5000) and N at (0.0000, 0.5000, 0.0000).

---

A plane-wave DFT calculation with PBE-GGA was carried out for GdScSnPb after structural relaxation.

The formation energy comes out at -0.42 eV/atom. The value obtained for the electronic total energy is -119.27 eV/cell. The crystal system is cubic.

The structure belongs to space group F-43m (No. 216); the cell edges are 7.4949, 7.4949 and 7.4949 Å and the angles 90.00°, 90.00° and 90.00°. The asymmetric unit holds Gd at (0.0000, 0.0000, 0.0000), Sc at (0.0000, 0.0000, 0.5000), Sn at (0.2500, 0.2500, 0.7500) and Pb at (0.2500, 0.2500, 0.2500).